The following is a DFT calculation (PBE) of a relaxed MgIn2Se4 crystal.

Cell and atoms, written as CIF:
```
data_MgIn2Se4
_cell_length_a 13.7825
_cell_length_b 8.0753
_cell_length_c 6.7172
_cell_angle_alpha 90.00
_cell_angle_beta 90.00
_cell_angle_gamma 90.00
_symmetry_space_group_name_H-M 'P n m a'
_symmetry_Int_Tables_number 62
_symmetry_space_group_name_Hall '-P 2ac 2n'
loop_
_atom_site_label
_atom_site_fract_x
_atom_site_fract_y
_atom_site_fract_z
Mg1 0.0955 0.2500 0.0774
In1 0.0000 0.0000 0.5000
In2 0.2321 0.7500 0.9976
Se1 0.0736 0.7500 0.7544
Se2 0.0915 0.2500 0.6963
Se3 0.1686 0.9999 0.2636
```

ΔE_f (raw): -671 meV per atom